[1]
Compound: Hf2SiGe2
Source: Alexandria via LeMat-Bulk
Functional: PBE
Structure: relaxed

Properties
- space group = P4/mbm, No. 127
- calculated volume (A^3/atom) = 19.4
- raw formation energy (eV/f.u.) = -1.78

```
data_Hf2SiGe2
_cell_length_a 7.024
_cell_length_b 7.024
_cell_length_c 3.932
_cell_angle_alpha 90.00
_cell_angle_beta 90.00
_cell_angle_gamma 90.00
_symmetry_space_group_name_H-M 'P 1'
_symmetry_Int_Tables_number 1
loop_
_symmetry_equiv_pos_as_xyz
'x,y,z'
loop_
_atom_site_label
_atom_site_type_symbol
_atom_site_fract_x
_atom_site_fract_y
_atom_site_fract_z
Ge1 Ge 0.129 0.629 0.500
Ge2 Ge 0.629 0.871 0.500
Ge3 Ge 0.871 0.371 0.500
Ge4 Ge 0.371 0.129 0.500
Hf1 Hf 0.325 0.825 0.000
Hf2 Hf 0.825 0.675 0.000
Hf3 Hf 0.675 0.175 0.000
Hf4 Hf 0.175 0.325 0.000
Si1 Si 0.000 0.000 0.000
Si2 Si 0.500 0.500 0.000
```

[2]
Compound: Hf3SiGe
Source: Alexandria via LeMat-Bulk
Functional: PBE
Structure: relaxed

Properties
- energy above the most stable polymorph in this dataset (meV/atom) = 710
- space group = Pm-3m, No. 221
- calculated volume (A^3/atom) = 22.9
- raw formation energy (eV/f.u.) = 1.40

```
data_Hf3SiGe
_cell_length_a 4.853
_cell_length_b 4.853
_cell_length_c 4.853
_cell_angle_alpha 90.00
_cell_angle_beta 90.00
_cell_angle_gamma 90.00
_symmetry_space_group_name_H-M 'P 1'
_symmetry_Int_Tables_number 1
loop_
_symmetry_equiv_pos_as_xyz
'x,y,z'
loop_
_atom_site_label
_atom_site_type_symbol
_atom_site_fract_x
_atom_site_fract_y
_atom_site_fract_z
Ge1 Ge 0.500 0.500 0.500
Hf1 Hf 0.000 0.500 0.000
Hf2 Hf 0.000 0.000 0.500
Hf3 Hf 0.500 0.000 0.000
Si1 Si 0.000 0.000 0.000
```

[3]
Compound: Hf4SiGe
Source: Alexandria via LeMat-Bulk
Functional: PBE
Structure: relaxed

Properties
- energy above the most stable polymorph in this dataset (meV/atom) = 0
- space group = P4/mcc, No. 124
- calculated volume (A^3/atom) = 19.1
- raw formation energy (eV/f.u.) = -4.19

```
data_Hf4SiGe
_cell_length_a 5.239
_cell_length_b 6.613
_cell_length_c 6.613
_cell_angle_alpha 90.00
_cell_angle_beta 90.00
_cell_angle_gamma 90.00
_symmetry_space_group_name_H-M 'P 1'
_symmetry_Int_Tables_number 1
loop_
_symmetry_equiv_pos_as_xyz
'x,y,z'
loop_
_atom_site_label
_atom_site_type_symbol
_atom_site_fract_x
_atom_site_fract_y
_atom_site_fract_z
Hf1 Hf 0.000 0.160 0.652
Hf2 Hf 0.000 0.840 0.348
Hf3 Hf 0.000 0.348 0.160
Hf4 Hf 0.000 0.652 0.840
Hf5 Hf 0.500 0.840 0.652
Hf6 Hf 0.500 0.160 0.348
Hf7 Hf 0.500 0.652 0.160
Hf8 Hf 0.500 0.348 0.840
Si1 Si 0.250 0.500 0.500
Si2 Si 0.750 0.500 0.500
Ge1 Ge 0.250 0.000 0.000
Ge2 Ge 0.750 0.000 0.000
```

[4]
Compound: Hf5Si2Ge2
Source: Alexandria via LeMat-Bulk
Functional: PBE
Structure: relaxed

Properties
- space group = Cmce, No. 64
- calculated volume (A^3/atom) = 18.7
- raw formation energy (eV/f.u.) = -6.68

```
data_Hf5Si2Ge2
_cell_length_a 7.070
_cell_length_b 7.033
_cell_length_c 7.647
_cell_angle_alpha 90.00
_cell_angle_beta 62.47
_cell_angle_gamma 90.00
_symmetry_space_group_name_H-M 'P 1'
_symmetry_Int_Tables_number 1
loop_
_symmetry_equiv_pos_as_xyz
'x,y,z'
loop_
_atom_site_label
_atom_site_type_symbol
_atom_site_fract_x
_atom_site_fract_y
_atom_site_fract_z
Hf1 Hf 0.000 0.000 0.000
Hf2 Hf 0.500 0.500 0.000
Hf3 Hf 0.465 0.168 0.733
Hf4 Hf 0.802 0.832 0.733
Hf5 Hf 0.302 0.668 0.733
Hf6 Hf 0.965 0.332 0.733
Hf7 Hf 0.535 0.832 0.267
Hf8 Hf 0.198 0.168 0.267
Hf9 Hf 0.698 0.332 0.267
Hf10 Hf 0.035 0.668 0.267
Si1 Si 0.126 0.374 0.000
Si2 Si 0.874 0.626 0.000
Si3 Si 0.374 0.874 0.000
Si4 Si 0.626 0.126 0.000
Ge1 Ge 0.206 0.000 0.588
Ge2 Ge 0.706 0.500 0.588
Ge3 Ge 0.794 0.000 0.412
Ge4 Ge 0.294 0.500 0.412
```

[5]
Compound: Hf4SiGe
Source: Alexandria via LeMat-Bulk
Functional: PBE
Structure: relaxed

Properties
- energy above the most stable polymorph in this dataset (meV/atom) = 460
- space group = Fddd, No. 70
- calculated volume (A^3/atom) = 21.2
- raw formation energy (eV/f.u.) = -1.43

```
data_Hf4SiGe
_cell_length_a 6.354
_cell_length_b 6.355
_cell_length_c 7.728
_cell_angle_alpha 114.29
_cell_angle_beta 114.29
_cell_angle_gamma 89.92
_symmetry_space_group_name_H-M 'P 1'
_symmetry_Int_Tables_number 1
loop_
_symmetry_equiv_pos_as_xyz
'x,y,z'
loop_
_atom_site_label
_atom_site_type_symbol
_atom_site_fract_x
_atom_site_fract_y
_atom_site_fract_z
Hf1 Hf 0.000 0.254 0.000
Hf2 Hf 0.500 0.746 0.000
Hf3 Hf 0.254 0.500 0.500
Hf4 Hf 0.746 0.500 0.500
Hf5 Hf 0.254 0.000 0.500
Hf6 Hf 0.500 0.254 0.000
Hf7 Hf 0.746 0.000 0.500
Hf8 Hf 0.000 0.746 0.000
Si1 Si 0.375 0.625 0.250
Si2 Si 0.625 0.375 0.750
Ge1 Ge 0.125 0.875 0.750
Ge2 Ge 0.875 0.125 0.250
```

[6]
Compound: Hf6SiGe2
Source: Alexandria via LeMat-Bulk
Functional: PBE
Structure: relaxed

Properties
- space group = P2_1/c, No. 14
- calculated volume (A^3/atom) = 20.0
- raw formation energy (eV/f.u.) = -4.15

```
data_Hf6SiGe2
_cell_length_a 5.533
_cell_length_b 7.325
_cell_length_c 8.903
_cell_angle_alpha 90.00
_cell_angle_beta 89.79
_cell_angle_gamma 90.00
_symmetry_space_group_name_H-M 'P 1'
_symmetry_Int_Tables_number 1
loop_
_symmetry_equiv_pos_as_xyz
'x,y,z'
loop_
_atom_site_label
_atom_site_type_symbol
_atom_site_fract_x
_atom_site_fract_y
_atom_site_fract_z
Hf1 Hf 0.870 0.965 0.222
Hf2 Hf 0.868 0.666 0.551
Hf3 Hf 0.885 0.690 0.946
Hf4 Hf 0.615 0.190 0.554
Hf5 Hf 0.632 0.166 0.949
Hf6 Hf 0.630 0.465 0.278
Hf7 Hf 0.130 0.035 0.778
Hf8 Hf 0.132 0.334 0.449
Hf9 Hf 0.115 0.310 0.054
Hf10 Hf 0.385 0.810 0.446
Hf11 Hf 0.368 0.834 0.051
Hf12 Hf 0.370 0.535 0.722
Si1 Si 0.500 0.500 0.000
Si2 Si 0.000 0.000 0.500
Ge1 Ge 0.900 0.386 0.754
Ge2 Ge 0.600 0.886 0.746
Ge3 Ge 0.400 0.114 0.254
Ge4 Ge 0.100 0.614 0.246
```

[7]
Compound: SrHfSi2Ge
Source: Alexandria via LeMat-Bulk
Functional: PBE
Structure: relaxed

Properties
- energy above the most stable polymorph in this dataset (meV/atom) = 582
- space group = P4/mmm, No. 123
- calculated volume (A^3/atom) = 25.7
- raw formation energy (eV/f.u.) = 2.76

```
data_SrHfSi2Ge
_cell_length_a 5.048
_cell_length_b 5.043
_cell_length_c 5.048
_cell_angle_alpha 90.00
_cell_angle_beta 90.00
_cell_angle_gamma 90.00
_symmetry_space_group_name_H-M 'P 1'
_symmetry_Int_Tables_number 1
loop_
_symmetry_equiv_pos_as_xyz
'x,y,z'
loop_
_atom_site_label
_atom_site_type_symbol
_atom_site_fract_x
_atom_site_fract_y
_atom_site_fract_z
Sr1 Sr 0.500 0.500 0.500
Ge1 Ge 0.000 0.000 0.000
Hf1 Hf 0.000 0.500 0.000
Si1 Si 0.000 0.000 0.500
Si2 Si 0.500 0.000 0.000
```

[8]
Compound: SrHfSi2Ge
Source: Alexandria via LeMat-Bulk
Functional: PBE
Structure: relaxed

Properties
- energy above the most stable polymorph in this dataset (meV/atom) = 0
- space group = P4/mmm, No. 123
- calculated volume (A^3/atom) = 26.7
- raw formation energy (eV/f.u.) = -0.15

```
data_SrHfSi2Ge
_cell_length_a 5.092
_cell_length_b 5.156
_cell_length_c 5.092
_cell_angle_alpha 90.00
_cell_angle_beta 90.00
_cell_angle_gamma 90.00
_symmetry_space_group_name_H-M 'P 1'
_symmetry_Int_Tables_number 1
loop_
_symmetry_equiv_pos_as_xyz
'x,y,z'
loop_
_atom_site_label
_atom_site_type_symbol
_atom_site_fract_x
_atom_site_fract_y
_atom_site_fract_z
Sr1 Sr 0.500 0.500 0.500
Ge1 Ge 0.000 0.500 0.000
Hf1 Hf 0.000 0.000 0.000
Si1 Si 0.000 0.000 0.500
Si2 Si 0.500 0.000 0.000
```

[9]
Compound: HfTi2SiGe
Source: Alexandria via LeMat-Bulk
Functional: PBE
Structure: relaxed

Properties
- space group = P4/mmm, No. 123
- calculated volume (A^3/atom) = 19.8
- raw formation energy (eV/f.u.) = 2.02

```
data_HfTi2SiGe
_cell_length_a 4.596
_cell_length_b 4.681
_cell_length_c 4.596
_cell_angle_alpha 90.00
_cell_angle_beta 90.00
_cell_angle_gamma 90.00
_symmetry_space_group_name_H-M 'P 1'
_symmetry_Int_Tables_number 1
loop_
_symmetry_equiv_pos_as_xyz
'x,y,z'
loop_
_atom_site_label
_atom_site_type_symbol
_atom_site_fract_x
_atom_site_fract_y
_atom_site_fract_z
Ge1 Ge 0.000 0.500 0.000
Hf1 Hf 0.500 0.500 0.500
Si1 Si 0.000 0.000 0.000
Ti1 Ti 0.000 0.000 0.500
Ti2 Ti 0.500 0.000 0.000
```

[10]
Compound: Hf2SiGeW
Source: Alexandria via LeMat-Bulk
Functional: PBE
Structure: relaxed

Properties
- space group = P4/mmm, No. 123
- calculated volume (A^3/atom) = 24.0
- raw formation energy (eV/f.u.) = 4.09

```
data_Hf2SiGeW
_cell_length_a 5.085
_cell_length_b 4.643
_cell_length_c 5.085
_cell_angle_alpha 90.00
_cell_angle_beta 90.00
_cell_angle_gamma 90.00
_symmetry_space_group_name_H-M 'P 1'
_symmetry_Int_Tables_number 1
loop_
_symmetry_equiv_pos_as_xyz
'x,y,z'
loop_
_atom_site_label
_atom_site_type_symbol
_atom_site_fract_x
_atom_site_fract_y
_atom_site_fract_z
Ge1 Ge 0.500 0.500 0.500
Hf1 Hf 0.000 0.000 0.500
Hf2 Hf 0.500 0.000 0.000
Si1 Si 0.000 0.500 0.000
W1 W 0.000 0.000 0.000
```

[11]
Compound: Sm3Hf2Ge3
Source: Alexandria via LeMat-Bulk
Functional: PBE
Structure: relaxed

Properties
- space group = P6_3/mcm, No. 193
- calculated volume (A^3/atom) = 23.4
- electronic total energy (eV/atom) = -6.635

```
data_Sm3Hf2Ge3
_cell_length_a 5.959
_cell_length_b 8.511
_cell_length_c 8.511
_cell_angle_alpha 120.00
_cell_angle_beta 90.00
_cell_angle_gamma 90.00
_symmetry_space_group_name_H-M 'P 1'
_symmetry_Int_Tables_number 1
loop_
_symmetry_equiv_pos_as_xyz
'x,y,z'
loop_
_atom_site_label
_atom_site_type_symbol
_atom_site_fract_x
_atom_site_fract_y
_atom_site_fract_z
Sm1 Sm 0.750 0.248 0.000
Sm2 Sm 0.750 0.752 0.752
Sm3 Sm 0.750 0.000 0.248
Sm4 Sm 0.250 0.752 0.000
Sm5 Sm 0.250 0.248 0.248
Sm6 Sm 0.250 0.000 0.752
Hf1 Hf 0.000 0.333 0.667
Hf2 Hf 0.500 0.667 0.333
Hf3 Hf 0.000 0.667 0.333
Hf4 Hf 0.500 0.333 0.667
Ge1 Ge 0.750 0.600 0.000
Ge2 Ge 0.750 0.400 0.400
Ge3 Ge 0.750 0.000 0.600
Ge4 Ge 0.250 0.400 0.000
Ge5 Ge 0.250 0.600 0.600
Ge6 Ge 0.250 0.000 0.400
```

Question: Which formula does entry 5 have?
Answer: Hf4SiGe